A plane-wave DFT calculation with GGA-PBE was carried out for a relaxed CsMn3Tl crystal.

abc: 5.6764 5.6764 5.6764
angles: 90.00 90.00 90.00
Closest atoms and distances in Å follow each position.
Fractional positions:
Mn1 0.5000 0.0000 0.0000  2 Cs 2.84
Mn2 0.0000 0.5000 0.0000  2 Cs 2.84
Mn3 0.0000 0.0000 0.5000  2 Cs 2.84
Tl1 0.5000 0.5000 0.5000  12 Mn 4.01
Cs1 0.0000 0.0000 0.0000  6 Mn 2.84

The calculated density comes out at 4.558 Mg/m³. For the energy relative to the elements, the calculation gives 2.12 eV per atom.